Entry 1:
Below is a relaxed structure of EuAlHgGe, with properties calculated at the GGA-PBE level.

Unit cell a=5.0734 b=5.0734 c=5.0734 alpha=60.00 beta=60.00 gamma=60.00
Closest atoms and distances in Å follow each position.
Fractional positions:
Eu1 0.0000 0.0000 0.0000  4 Ge 3.11, 4 Hg 3.11
Ge1 0.2500 0.2500 0.2500  4 Al 3.11, 4 Eu 3.11
Hg1 0.7500 0.7500 0.7500  4 Al 3.11, 4 Eu 3.11
Al1 0.5000 0.5000 0.5000  4 Hg 3.11, 4 Ge 3.11

Results
energy relative to the elements: -0.22 eV per atom
magnetic moment: 6.76 μB/f.u.

=====

Entry 2:
Below is a relaxed structure of RbZrNbO2, with properties calculated at the GGA-PBE level.

Unit cell a=4.1974 b=7.0191 c=4.1974 alpha=90.00 beta=90.00 gamma=90.00
Closest atoms and distances in Å follow each position.
Fractional positions:
O1 0.0000 0.0000 0.5000  2 Zr 2.10
O2 0.5000 0.0000 0.0000  2 Zr 2.10
Nb1 0.5000 0.5000 0.5000  4 Rb 2.97
Rb1 0.0000 0.5000 0.0000  4 Nb 2.97
Zr1 0.0000 0.0000 0.0000  4 O 2.10

Results
energy above the lowest structure with this stoichiometry: 0.00 eV per formula unit
magnetic moment: 4.37 μB/f.u.